Below is a geometry-optimized AcMg2Ga2Ir structure, with properties calculated at the GGA-PBE level.

size of the total moment	0.000	μB per atom
space group	I4/mmm, No. 139
calculated total energy	-22.2	eV per cell
volume	24.71	Å³/atom

Unit cell a=4.994 b=4.994 c=6.914 alpha=111.17 beta=111.17 gamma=90.00
Atoms (fractional coordinates):
Ac  0.500  0.500  0.000
Mg  0.250  0.750  0.500
Mg  0.750  0.250  0.500
Ga  0.800  0.800  0.600
Ga  0.200  0.200  0.400
Ir  0.000  0.000  0.000

---

Below is a geometry-optimized Cr2TcPt structure, with properties calculated at the GGA-PBE level.

size of the total moment	0.002	μB per atom
space group	Pm, No. 6
calculated total energy	-35.7	eV per cell
volume	13.40	Å³/atom

Unit cell a=4.068 b=2.667 c=5.118 alpha=74.93 beta=90.00 gamma=90.00
Atoms (fractional coordinates):
Cr  0.000  0.183  0.005
Cr  0.500  0.069  0.242
Pt  0.000  0.452  0.473
Tc  0.500  0.797  0.781

---

Below is a geometry-optimized Mn2Nb2Tl structure, with properties calculated at the GGA-PBE level.

size of the total moment	0.718	μB per atom
space group	P4/mbm, No. 127
calculated total energy	-79.1	eV per cell
volume	16.73	Å³/atom

Unit cell a=7.145 b=7.145 c=3.277 alpha=90.00 beta=90.00 gamma=90.00
Site moments in Bohr magnetons follow the coordinates.
Atoms (fractional coordinates):
Tl  0.000  0.000  0.000  0.00
Tl  0.500  0.500  0.000  0.00
Mn  0.379  0.879  0.000  2.20
Mn  0.879  0.621  0.000  2.15
Mn  0.621  0.121  0.000  2.20
Mn  0.121  0.379  0.000  2.15
Nb  0.176  0.676  0.500  -0.42
Nb  0.676  0.824  0.500  -0.41
Nb  0.824  0.324  0.500  -0.42
Nb  0.324  0.176  0.500  -0.41

---

Below is a geometry-optimized LiSbPt2 structure, with properties calculated at the GGA-PBE level.

raw formation energy	-0.175	eV per atom
size of the total moment	0.000	μB per atom
space group	R-3m, No. 166
volume	17.17	Å³/atom

Unit cell a=9.081 b=9.081 c=9.081 alpha=18.90 beta=18.90 gamma=18.90
Atoms (fractional coordinates):
Li  0.750  0.750  0.750
Pt  0.004  0.004  0.004
Pt  0.496  0.496  0.496
Sb  0.250  0.250  0.250

---

Below is a geometry-optimized AcEu2Zn structure, with properties calculated at the GGA-PBE level.

energy above the most stable polymorph in this dataset	0.253	eV per atom
size of the total moment	3.840	μB per atom
space group	Fm-3m, No. 225
volume	33.58	Å³/atom

Unit cell a=5.749 b=5.749 c=5.749 alpha=60.00 beta=60.00 gamma=60.00
Site moments in Bohr magnetons follow the coordinates.
Atoms (fractional coordinates):
Eu  0.250  0.250  0.250  6.97
Eu  0.750  0.750  0.750  6.97
Ac  0.000  0.000  0.000  0.28
Zn  0.500  0.500  0.500  -0.02

---

Below is a geometry-optimized CdAg2Cl structure, with properties calculated at the GGA-PBE level.

raw formation energy	-0.056	eV per atom
energy above the most stable polymorph in this dataset	0.106	eV per atom
size of the total moment	0.000	μB per atom
space group	Pmmm, No. 47
volume	21.05	Å³/atom

Unit cell a=3.261 b=5.582 c=4.627 alpha=90.00 beta=90.00 gamma=90.00
Atoms (fractional coordinates):
Cl  0.000  0.500  0.500
Ag  0.000  0.000  0.000
Ag  0.500  0.500  0.000
Cd  0.500  0.000  0.500

---

Below is a geometry-optimized SiIrAu structure, with properties calculated at the GGA-PBE level.

raw formation energy	-0.036	eV per atom
energy above the most stable polymorph in this dataset	0.281	eV per atom
size of the total moment	0.000	μB per atom
space group	P3m1, No. 156
volume	15.47	Å³/atom

Unit cell a=2.924 b=2.924 c=6.269 alpha=90.00 beta=90.00 gamma=120.00
Atoms (fractional coordinates):
Au  0.000  0.000  0.979
Ir  0.333  0.667  0.373
Si  0.667  0.333  0.648

---

Below is a geometry-optimized HgTeMoI2 structure, with properties calculated at the GGA-PBE level.

raw formation energy	1.067	eV per atom
energy above the most stable polymorph in this dataset	0.825	eV per atom
size of the total moment	0.815	μB per atom
space group	P4/mmm, No. 123
volume	39.02	Å³/atom

Unit cell a=5.834 b=5.834 c=5.732 alpha=90.00 beta=90.00 gamma=90.00
Site moments in Bohr magnetons follow the coordinates.
Atoms (fractional coordinates):
I  0.000  0.500  0.000  -0.05
I  0.500  0.000  0.000  -0.05
Mo  0.500  0.500  0.500  3.94
Te  0.000  0.000  0.500  -0.33
Hg  0.000  0.000  0.000  -0.01

---

Below is a geometry-optimized Sn2Pb2N structure, with properties calculated at the GGA-PBE level.

raw formation energy	1.136	eV per atom
energy above the most stable polymorph in this dataset	0.635	eV per atom
size of the total moment	0.423	μB per atom
space group	I4/mmm, No. 139
volume	31.54	Å³/atom

Unit cell a=4.589 b=4.589 c=8.161 alpha=73.67 beta=73.67 gamma=90.00
Site moments in Bohr magnetons follow the coordinates.
Atoms (fractional coordinates):
Pb  0.750  0.250  0.500  0.03
Pb  0.250  0.750  0.500  0.03
Sn  0.402  0.402  0.197  -0.05
Sn  0.598  0.598  0.803  -0.05
N  0.000  0.000  0.000  1.51

---

Below is a geometry-optimized LiNpAgTe3 structure, with properties calculated at the GGA-PBE level.

raw formation energy	-0.539	eV per atom
size of the total moment	0.506	μB per atom
space group	P2_1/m, No. 11
volume	26.90	Å³/atom

Unit cell a=4.163 b=8.293 c=9.639 alpha=104.08 beta=90.00 gamma=90.00
Site moments in Bohr magnetons follow the coordinates.
Atoms (fractional coordinates):
Li  0.250  0.670  0.169  -0.01
Li  0.750  0.330  0.831  -0.01
Np  0.250  0.198  0.241  3.62
Np  0.750  0.802  0.759  3.62
Ag  0.250  0.092  0.589  -0.03
Ag  0.750  0.908  0.411  -0.03
Te  0.750  0.919  0.124  -0.14
Te  0.250  0.081  0.876  -0.14
Te  0.250  0.718  0.499  -0.11
Te  0.750  0.282  0.501  -0.11
Te  0.750  0.421  0.150  -0.17
Te  0.250  0.579  0.850  -0.17

---

Below is a geometry-optimized HfScGa2F structure, with properties calculated at the GGA-PBE level.

raw formation energy	-0.532	eV per atom
size of the total moment	0.000	μB per atom
space group	P4/mmm, No. 123
volume	21.25	Å³/atom

Unit cell a=5.322 b=3.750 c=5.322 alpha=90.00 beta=90.00 gamma=90.00
Atoms (fractional coordinates):
Sc  0.000  0.000  0.000
Hf  0.500  0.500  0.500
Ga  0.000  0.000  0.500
Ga  0.500  0.000  0.000
F  0.000  0.500  0.000

---

Below is a geometry-optimized SrMg3Cu8 structure, with properties calculated at the GGA-PBE level.

size of the total moment	0.000	μB per atom
space group	R3m, No. 160
calculated total energy	-40.3	eV per cell
volume	15.80	Å³/atom

Unit cell a=5.102 b=5.102 c=8.911 alpha=73.37 beta=73.37 gamma=60.00
Atoms (fractional coordinates):
Sr  0.876  0.876  0.373
Mg  0.373  0.373  0.880
Mg  0.006  0.006  0.982
Mg  0.488  0.488  0.536
Cu  0.946  0.441  0.172
Cu  0.430  0.937  0.697
Cu  0.441  0.441  0.172
Cu  0.937  0.937  0.697
Cu  0.186  0.186  0.440
Cu  0.689  0.689  0.934
Cu  0.441  0.946  0.172
Cu  0.937  0.430  0.697